A relaxed Ta2Be2AlCo5 crystal, computed with PBE.

Results
E_form: -0.39 eV per atom
V: 11.4 Å³/atom

Unit cell a=8.5766 b=8.5766 c=3.1050 alpha=90.00 beta=90.00 gamma=90.00
Closest atoms and distances in Å follow each position.
Space group P4/mbm (No. 127)
Asymmetric unit:
Ta (0.1769, 0.3231, 0.0000) [4 per cell]  3 Be 2.48-2.58, 10 Co 2.65-2.77
Be (0.1185, 0.6185, 0.0000) [4 per cell]  6 Co 2.12-2.16
Al (0.0000, 0.0000, 0.0000) [2 per cell]  8 Co 2.48
Co (0.0000, 0.5000, 0.5000) [2 per cell]  4 Be 2.12
Co (0.0678, 0.7854, 0.5000) [8 per cell]  2 Be 2.16